VASP calculation (GGA+U) on Li2CrFeO4 after structural relaxation.

Polymorph energy (0 for the lowest one) = 4.21 kJ per mole of atoms
Symmetry = P-1 (2)

The structure in extended XYZ format:
```
24
Lattice="5.177 0.000 0.000 -0.001 5.928 0.000 -2.544 -1.464 7.267" Properties=species:S:1:pos:R:3 pbc="T T T"
Li -0.846 0.001 2.421
Li 3.480 1.489 4.845
Li -0.848 2.975 2.422
Li 3.478 4.464 4.846
Li 0.005 4.456 0.007
Li 2.627 0.009 7.260
Cr 2.588 0.000 0.000
Cr 0.888 0.015 4.854
Cr 1.744 4.449 2.413
Fe 1.738 1.476 2.423
Fe 2.588 2.964 0.000
Fe 0.894 2.988 4.843
O 0.114 1.483 3.677
O 0.964 2.976 1.252
O -0.724 0.003 6.091
O -0.728 2.995 6.097
O 0.979 -0.007 1.235
O 0.139 4.475 3.662
O 2.493 -0.010 3.605
O 1.653 4.471 6.031
O 3.360 1.469 1.170
O 3.356 4.462 1.176
O 1.668 1.488 6.015
O 2.518 2.982 3.589
```